The following is a GGA-PBE calculation of crystalline ZnCrFe at its relaxed geometry, from the Alexandria database.

Calculated density in g/cm3: 6.5
E above lowest polymorph in eV/atom: 0.434
M_tot in μB per atom: 0.428
SG: F-43m (216)
Energy in eV/f.u.: -17.7
ΔH_f (0 K) in kJ per mole of atoms: 53.3
N(E_F) in states/eV/cell: 2.81

Geometry as extended XYZ:
```
3
Lattice="0.000 2.808 2.808 2.808 0.000 2.808 2.808 2.808 0.000" Properties=species:S:1:pos:R:3 pbc="T T T"
Zn 0.000 0.000 0.000
Cr 2.808 2.808 2.808
Fe 4.213 4.213 4.213
```

=====

The following is a GGA-PBE calculation of crystalline CaSiAs2 at its relaxed geometry, from the Alexandria database.

Calculated density in g/cm3: 4.1
M_tot in μB per atom: 0.000
SG: Cm (8)
Energy in eV/f.u.: -18.0
N(E_F) in states/eV/cell: 1.09

Geometry as extended XYZ:
```
4
Lattice="5.054 -1.852 0.000 5.054 1.852 0.000 -1.591 0.000 4.694" Properties=species:S:1:pos:R:3 pbc="T T T"
Ca 0.000 0.000 0.000
Si 7.317 0.000 1.472
As 1.370 0.000 2.929
As 4.040 0.000 2.290
```

=====

The following is a GGA-PBE calculation of crystalline Pu2AuCl at its relaxed geometry, from the Alexandria database.

Calculated density in g/cm3: 12.7
E above lowest polymorph in eV/atom: 0.000
M_tot in μB per atom: 3.085
SG: P4/mmm (123)
Energy in eV/f.u.: -36.5
N(E_F) in states/eV/cell: 14.23

Geometry as extended XYZ:
```
4
Lattice="3.359 0.000 0.000 0.000 3.359 0.000 0.000 0.000 8.317" Properties=species:S:1:pos:R:3 pbc="T T T"
Pu 0.000 0.000 2.033
Pu 0.000 0.000 6.284
Au 1.680 1.680 0.000
Cl 1.680 1.680 4.158
```

=====

The following is a GGA-PBE calculation of crystalline LiScV2Sn at its relaxed geometry, from the Alexandria database.

Calculated density in g/cm3: 3.1
M_tot in μB per atom: 1.398
SG: P4/mmm (123)
Energy in eV/f.u.: -25.3
ΔH_f (0 K) in kJ per mole of atoms: 99.4
N(E_F) in states/eV/cell: 5.07

Geometry as extended XYZ:
```
5
Lattice="5.168 0.000 0.000 0.000 5.168 0.000 0.000 0.000 5.428" Properties=species:S:1:pos:R:3 pbc="T T T"
Li 0.000 0.000 0.000
Sc 2.584 2.584 0.000
V 0.000 2.584 2.714
V 2.584 0.000 2.714
Sn 2.584 2.584 2.714
```

=====

The following is a GGA-PBE calculation of crystalline PmThSb2 at its relaxed geometry, from the Alexandria database.

Calculated density in g/cm3: 8.2
E above lowest polymorph in eV/atom: 0.078
M_tot in μB per atom: 0.000
SG: Cmcm (63)
Energy in eV/f.u.: -24.3
N(E_F) in states/eV/cell: 5.09

Geometry as extended XYZ:
```
8
Lattice="2.159 -12.396 0.000 2.159 12.396 0.000 0.000 0.000 4.712" Properties=species:S:1:pos:R:3 pbc="T T T"
Pm 2.159 7.773 3.534
Pm 2.159 -7.773 1.178
Th 2.159 1.494 3.534
Th 2.159 -1.494 1.178
Sb 2.159 11.017 3.534
Sb 2.159 4.633 3.534
Sb 2.159 -4.633 1.178
Sb 2.159 -11.017 1.178
```

=====

The following is a GGA-PBE calculation of crystalline Hg4BS6 at its relaxed geometry, from the Alexandria database.

Calculated density in g/cm3: 6.5
M_tot in μB per atom: 0.000
SG: Cc (9)
Energy in eV/f.u.: -33.7
N(E_F) in states/eV/cell: 18.84

Geometry as extended XYZ:
```
22
Lattice="6.263 -3.512 0.000 6.263 3.512 0.000 -4.629 0.000 11.732" Properties=species:S:1:pos:R:3 pbc="T T T"
Hg 3.948 3.008 5.866
Hg 4.086 0.773 0.044
Hg 1.771 -0.773 5.910
Hg 3.909 1.286 9.808
Hg 9.191 0.863 2.222
Hg 6.224 -1.286 3.942
Hg 6.877 -0.863 8.088
Hg 6.263 -3.008 0.000
B 5.820 1.960 2.913
B 3.506 -1.960 8.779
S 1.606 1.783 5.884
S -1.736 0.002 8.325
S 0.579 -0.002 2.459
S 3.980 1.885 2.374
S 1.411 1.827 10.357
S 5.867 1.643 4.823
S 6.655 0.423 2.071
S 3.920 -1.783 0.018
S 4.341 -0.423 7.937
S 1.666 -1.885 8.240
S 3.726 -1.827 4.491
S 3.552 -1.643 10.689
```

=====

The following is a GGA-PBE calculation of crystalline Be2ReHg at its relaxed geometry, from the Alexandria database.

Calculated density in g/cm3: 12.0
M_tot in μB per atom: 0.000
SG: I-42d (122)
Energy in eV/f.u.: -17.1
ΔH_f (0 K) in kJ per mole of atoms: 75.4
N(E_F) in states/eV/cell: 7.68

Geometry as extended XYZ:
```
8
Lattice="-3.182 3.182 2.769 3.182 -3.182 2.769 3.182 3.182 -2.769" Properties=species:S:1:pos:R:3 pbc="T T T"
Be 1.591 1.543 -0.692
Be 1.639 -1.591 3.462
Be 1.591 1.639 2.077
Be 1.543 4.772 0.692
Re 0.000 0.000 0.000
Re 0.000 3.182 1.385
Hg 3.182 0.000 1.385
Hg 0.000 0.000 2.769
```

=====

The following is a GGA-PBE calculation of crystalline V4Pd12Rh at its relaxed geometry, from the Alexandria database.

Calculated density in g/cm3: 9.6
M_tot in μB per atom: 0.511
SG: Im-3m (229)
Energy in eV/f.u.: -103.5
ΔH_f (0 K) in kJ per mole of atoms: 14.7
N(E_F) in states/eV/cell: 28.77

Geometry as extended XYZ:
```
17
Lattice="-4.092 4.092 4.092 4.092 -4.092 4.092 4.092 4.092 -4.092" Properties=species:S:1:pos:R:3 pbc="T T T"
V 2.046 2.046 -2.046
V 2.046 -2.046 2.046
V -2.046 2.046 2.046
V 2.046 2.046 2.046
Pd 2.417 0.000 0.000
Pd 5.767 0.000 0.000
Pd 4.092 2.046 0.000
Pd 4.092 0.000 2.046
Pd 0.000 2.417 0.000
Pd 0.000 0.000 2.417
Pd 2.046 4.092 0.000
Pd 2.046 0.000 4.092
Pd 0.000 5.767 0.000
Pd 0.000 0.000 5.767
Pd 0.000 4.092 2.046
Pd 0.000 2.046 4.092
Rh 0.000 0.000 0.000
```

=====

The following is a GGA-PBE calculation of crystalline Y2Ru at its relaxed geometry, from the Alexandria database.

Calculated density in g/cm3: 5.9
M_tot in μB per atom: 0.000
SG: Pa-3 (205)
Energy in eV/f.u.: -22.9
ΔH_f (0 K) in kJ per mole of atoms: -23.3
N(E_F) in states/eV/cell: 5.27

Geometry as extended XYZ:
```
12
Lattice="6.814 0.000 0.000 0.000 6.814 0.000 0.000 0.000 6.814" Properties=species:S:1:pos:R:3 pbc="T T T"
Y 1.113 1.113 1.113
Y 1.113 2.294 4.520
Y 2.294 4.520 1.113
Y 2.294 5.701 4.520
Y 4.520 1.113 2.294
Y 4.520 2.294 5.701
Y 5.701 4.520 2.294
Y 5.701 5.701 5.701
Ru 0.000 0.000 3.407
Ru 0.000 3.407 0.000
Ru 3.407 0.000 0.000
Ru 3.407 3.407 3.407
```

=====

The following is a GGA-PBE calculation of crystalline PrEr12Sc6 at its relaxed geometry, from the Alexandria database.

Calculated density in g/cm3: 7.2
E above lowest polymorph in eV/atom: 0.000
M_tot in μB per atom: 0.000
SG: Im-3 (204)
Energy in eV/f.u.: -92.8
ΔH_f (0 K) in kJ per mole of atoms: 24.0
N(E_F) in states/eV/cell: 32.53

Geometry as extended XYZ:
```
19
Lattice="-5.193 5.193 5.193 5.193 -5.193 5.193 5.193 5.193 -5.193" Properties=species:S:1:pos:R:3 pbc="T T T"
Pr 0.000 0.000 0.000
Er 5.193 3.148 -2.424
Er 2.770 0.000 2.046
Er 7.617 0.000 2.046
Er 2.046 2.770 0.000
Er 3.148 -2.424 5.193
Er 0.000 2.046 2.770
Er 5.193 3.148 2.424
Er 2.046 7.617 0.000
Er 3.148 2.424 5.193
Er -2.424 5.193 3.148
Er 2.424 5.193 3.148
Er 0.000 2.046 7.617
Sc 5.193 1.428 0.000
Sc 5.193 0.000 3.765
Sc 3.765 5.193 0.000
Sc 1.428 0.000 5.193
Sc 0.000 5.193 1.428
Sc 0.000 3.765 5.193
```

=====

The following is a GGA-PBE calculation of crystalline Pr2AgPd at its relaxed geometry, from the Alexandria database.

Calculated density in g/cm3: 8.0
E above lowest polymorph in eV/atom: 0.044
M_tot in μB per atom: 0.000
SG: Fm-3m (225)
Energy in eV/f.u.: -19.4
ΔH_f (0 K) in kJ per mole of atoms: -44.5
N(E_F) in states/eV/cell: 3.59

Geometry as extended XYZ:
```
4
Lattice="0.000 3.717 3.717 3.717 0.000 3.717 3.717 3.717 0.000" Properties=species:S:1:pos:R:3 pbc="T T T"
Pr 1.858 1.858 1.858
Pr 5.575 5.575 5.575
Ag 0.000 0.000 0.000
Pd 3.717 3.717 3.717
```

=====

The following is a GGA-PBE calculation of crystalline Pm2EuGd at its relaxed geometry, from the Alexandria database.

Calculated density in g/cm3: 7.0
M_tot in μB per atom: 0.040
SG: P4/mmm (123)
Energy in eV/f.u.: -33.3
ΔH_f (0 K) in kJ per mole of atoms: 12.5
N(E_F) in states/eV/cell: 7.62

Geometry as extended XYZ:
```
4
Lattice="6.066 0.000 0.000 0.000 6.066 0.000 0.000 0.000 3.837" Properties=species:S:1:pos:R:3 pbc="T T T"
Pm 0.000 3.033 0.000
Pm 3.033 0.000 0.000
Eu 0.000 0.000 1.919
Gd 3.033 3.033 1.919
```

=====

> The highest calculated density belongs to which entry?

Pu2AuCl

=====

> Which of these has the lowest calculated density?

LiScV2Sn

=====

> Which formula does entry 12 have?

Pm2EuGd